Record 1
PBE UFe2P2, optimized geometry; DFT formation energy = -0.65 eV/atom; V = 68 Å³/cell; energy above the lowest structure with this stoichiometry = 140.6 meV per atom; magnetization = 0.95 Bohr magnetons per cell
1.0
3.7769 0.0000 0.0000
0.0000 3.7769 0.0000
0.0000 0.0000 4.7710
Fe P U
2 2 1
direct
0.5000 0.0000 0.5000 Fe
0.0000 0.5000 0.5000 Fe
0.5000 0.5000 0.2370 P
0.5000 0.5000 0.7630 P
0.0000 0.0000 0.0000 U



Record 2
PBE UFe2P2, optimized geometry; DFT formation energy = -0.79 eV/atom; V = 67 Å³/cell; energy above the lowest structure with this stoichiometry = 0.0 meV per atom; magnetization = 0.91 Bohr magnetons per cell
1.0
-3.0524 -0.2008 -4.4402
0.8332 -3.8352 -3.6973
-0.6322 0.4154 5.3386
Fe U P
2 1 2
direct
0.2500 0.7500 0.5000 Fe
0.7500 0.2500 0.5000 Fe
0.0000 0.0000 0.0000 U
0.6245 0.6245 0.0000 P
0.3755 0.3755 0.0000 P



Record 3
PBE U2Fe5P4, optimized geometry; DFT formation energy = -0.58 eV/atom; V = 151 Å³/cell; magnetization = 2.26 Bohr magnetons per cell
1.0
-4.9619 0.7616 1.4850
-2.0517 -2.8683 3.8433
-0.5325 4.7255 5.0251
Fe P U
5 4 2
direct
0.0000 0.5000 0.0000 Fe
0.5000 0.0000 0.0000 Fe
0.7500 0.5000 0.5000 Fe
0.5000 0.5000 0.0000 Fe
0.2500 0.5000 0.5000 Fe
0.5200 0.6949 0.2651 P
0.4800 0.3051 0.7349 P
0.7851 0.6949 0.7349 P
0.2149 0.3051 0.2651 P
0.8723 0.0000 0.2554 U
0.1277 0.0000 0.7446 U



Number 1: density of states at the Fermi level 1.328 states/eV per atom. Number 2: density of states at the Fermi level 1.272 states/eV per atom. Number 3: density of states at the Fermi level 1.326 states/eV per atom.